The following is a PBE+U calculation of an optimized crystal structure of MnGaPO2, from Alexandria via LeMat-Bulk.

Values from the calculation:
Raw total energy   -5.61 eV/atom
DOS at the Fermi energy   0.53 states/eV/atom
Energy above the lowest structure with this stoichiometry   0.000 eV/atom

abc: 3.6958 3.6958 5.1150
angles: 90.00 90.00 90.00
Atoms (fractional coordinates):
Mn (0.0000, 0.0000, 0.0000)
Ga (0.5000, 0.5000, 0.5000)
P (0.0000, 0.0000, 0.5000)
O (0.0000, 0.5000, 0.0000)
O (0.5000, 0.0000, 0.0000)